# ReSeS GGA-PBE relaxed
# **Final energy**: -6.970 eV per atom
# **SG**: Amm2 (38)
data_ReSeS
_symmetry_space_group_name_H-M 'P 1'
_symmetry_Int_Tables_number 1
_symmetry_space_group_name_Hall 'P 1'
_cell_length_a 3.1011
_cell_length_b 11.6946
_cell_length_c 11.6946
_cell_angle_alpha 150.97
_cell_angle_beta 90.00
_cell_angle_gamma 90.00
loop_
_atom_site_label
_atom_site_fract_x
_atom_site_fract_y
_atom_site_fract_z
_atom_site_occupancy
S1 0.0000 0.6625 0.8122 1
S2 0.0000 0.8122 0.6625 1
Re1 0.5000 0.6158 0.6158 1
Re2 0.0000 0.0194 0.0194 1
Se1 0.5000 0.1881 0.3200 1
Se2 0.5000 0.3200 0.1881 1